This record from Alexandria via LeMat-Bulk describes a relaxed Li3Ac2ScPb4 crystal. The functional is PBE.

Output
* formation energy from the elements: -466.0 kJ/mol of formula units
* ρ: 8.2 g/cm3
* electronic total energy: -3.995 eV per atom
* space group: P-4m2 (115)

Unit cell a=4.8111 b=4.8111 c=11.7315 alpha=90.00 beta=90.00 gamma=90.00
Closest atoms and distances in Å follow each position.
Atoms (fractional coordinates):
Li 0.0000 0.0000 0.0000  4 Pb 2.91
Li 0.0000 0.5000 0.6288  5 Pb 2.71-2.84
Li 0.5000 0.0000 0.3712  5 Pb 2.71-2.84
Ac 0.0000 0.5000 0.2588  6 Li 3.65-3.87, 8 Pb 3.68-3.71, 2 Sc 3.87
Ac 0.5000 0.0000 0.7412  6 Li 3.65-3.87, 8 Pb 3.68-3.71, 2 Sc 3.87
Sc 0.5000 0.5000 0.0000  4 Pb 2.91
Pb 0.0000 0.0000 0.5000  4 Li 2.84
Pb 0.0000 0.5000 0.8600  3 Li 2.71-2.91, 2 Sc 2.91
Pb 0.5000 0.0000 0.1400  3 Li 2.71-2.91, 2 Sc 2.91
Pb 0.5000 0.5000 0.5000  4 Li 2.84